[1]
This record from the Alexandria database describes an optimized crystal structure of SrS6F2. The functional is PBE-GGA.

Results
Calculated density in g/cm³: 2.4
Total magnetic moment in Bohr magnetons per cell: 0.0
Energy relative to the elements, uncorrected in eV per atom: -1.096

```
data_SrS6F2
_space_group_name_H-M_alt 'C 1 2/m 1'
_space_group_IT_number 12
_cell_length_a 10.126
_cell_length_b 11.087
_cell_length_c 3.937
_cell_angle_alpha 90.00
_cell_angle_beta 95.84
_cell_angle_gamma 90.00
loop_
_space_group_symop_operation_xyz
'x,y,z'
'-x,-y,-z'
'-x,y,-z'
'x,-y,z'
'x+1/2,y+1/2,z'
'-x+1/2,-y+1/2,-z'
'-x+1/2,y+1/2,-z'
'x+1/2,-y+1/2,z'
loop_
_atom_site_label
_atom_site_type_symbol
_atom_site_fract_x
_atom_site_fract_y
_atom_site_fract_z
Sr1 Sr 0.000 0.000 0.000
S1 S 0.091 0.352 0.906
S2 S 0.185 0.500 0.155
F1 F 0.000 0.126 0.500
```


[2]
This record from the Alexandria database describes an optimized crystal structure of Sr2S2F. The functional is PBE-GGA.

Results
Calculated density in g/cm³: 3.6
Total magnetic moment in Bohr magnetons per cell: 2.0
Energy relative to the elements, uncorrected in eV per atom: -1.839

```
data_Sr2S2F
_space_group_name_H-M_alt 'P 4/m b m'
_space_group_IT_number 127
_space_group_name_Hall '-P 4 2ab'
_cell_length_a 7.969
_cell_length_b 7.969
_cell_length_c 3.793
_cell_angle_alpha 90.00
_cell_angle_beta 90.00
_cell_angle_gamma 90.00
loop_
_atom_site_label
_atom_site_type_symbol
_atom_site_fract_x
_atom_site_fract_y
_atom_site_fract_z
Sr1 Sr 0.180 0.320 0.000
S1 S 0.117 0.617 0.500
F1 F 0.000 0.000 0.500
```


[3]
This record from the Alexandria database describes an optimized crystal structure of SrSF6. The functional is PBE-GGA.

Results
Calculated density in g/cm³: 3.6
Total magnetic moment in Bohr magnetons per cell: 0.0
Energy relative to the elements, uncorrected in eV per atom: -2.319

```
data_SrSF6
_space_group_name_H-M_alt 'C 1 2/m 1'
_space_group_IT_number 12
_cell_length_a 6.255
_cell_length_b 7.318
_cell_length_c 4.813
_cell_angle_alpha 90.00
_cell_angle_beta 103.63
_cell_angle_gamma 90.00
loop_
_space_group_symop_operation_xyz
'x,y,z'
'-x,-y,-z'
'-x,y,-z'
'x,-y,z'
'x+1/2,y+1/2,z'
'-x+1/2,-y+1/2,-z'
'-x+1/2,y+1/2,-z'
'x+1/2,-y+1/2,z'
loop_
_atom_site_label
_atom_site_type_symbol
_atom_site_fract_x
_atom_site_fract_y
_atom_site_fract_z
Sr1 Sr 0.000 0.000 0.000
S1 S 0.000 0.500 0.500
F1 F 0.107 0.325 0.782
F2 F 0.218 0.000 0.569
```


[4]
This record from the Alexandria database describes an optimized crystal structure of SrS4F. The functional is PBE-GGA.

Results
Calculated density in g/cm³: 2.6
Total magnetic moment in Bohr magnetons per cell: 0.0
Energy relative to the elements, uncorrected in eV per atom: -1.103

```
data_SrS4F
_space_group_name_H-M_alt 'C 1 2/c 1'
_space_group_IT_number 15
_cell_length_a 4.340
_cell_length_b 22.718
_cell_length_c 5.973
_cell_angle_alpha 90.00
_cell_angle_beta 90.29
_cell_angle_gamma 90.00
loop_
_space_group_symop_operation_xyz
'x,y,z'
'-x,-y,-z'
'-x,y,-z+1/2'
'x,-y,z+1/2'
'x+1/2,y+1/2,z'
'-x+1/2,-y+1/2,-z'
'-x+1/2,y+1/2,-z+1/2'
'x+1/2,-y+1/2,z+1/2'
loop_
_atom_site_label
_atom_site_type_symbol
_atom_site_fract_x
_atom_site_fract_y
_atom_site_fract_z
Sr1 Sr 0.000 0.164 0.250
S1 S 0.118 0.034 0.609
S2 S 0.246 0.203 0.708
F1 F 0.000 0.375 0.750
```


[5]
This record from the Alexandria database describes an optimized crystal structure of Sr3SF3. The functional is PBE-GGA.

Results
Calculated density in g/cm³: 3.7
Total magnetic moment in Bohr magnetons per cell: 0.0
Energy relative to the elements, uncorrected in eV per atom: -3.099

```
data_Sr3SF3
_space_group_name_H-M_alt 'R -3'
_space_group_IT_number 148
_space_group_name_Hall '-R 3'
_cell_length_a 7.2516
_cell_length_b 7.2516
_cell_length_c 20.8118
_cell_angle_alpha 90.00
_cell_angle_beta 90.00
_cell_angle_gamma 120.00
loop_
_atom_site_label
_atom_site_type_symbol
_atom_site_fract_x
_atom_site_fract_y
_atom_site_fract_z
Sr1 Sr 0.0002 0.3314 0.4149
S1 S 0.0000 0.0000 0.1666
F1 F 0.0001 0.3334 0.2930
```


[6]
This record from the Alexandria database describes an optimized crystal structure of Sr2S2F. The functional is PBE-GGA.

Results
Calculated density in g/cm³: 3.1
Total magnetic moment in Bohr magnetons per cell: 2.0
Energy relative to the elements, uncorrected in eV per atom: -1.775

```
data_Sr2S2F
_space_group_name_H-M_alt 'I 4/m m m'
_space_group_IT_number 139
_space_group_name_Hall '-I 4 2'
_cell_length_a 5.499
_cell_length_b 5.499
_cell_length_c 9.220
_cell_angle_alpha 90.00
_cell_angle_beta 90.00
_cell_angle_gamma 90.00
loop_
_atom_site_label
_atom_site_type_symbol
_atom_site_fract_x
_atom_site_fract_y
_atom_site_fract_z
Sr1 Sr 0.000 0.500 0.250
S1 S 0.000 0.000 0.146
F1 F 0.000 0.000 0.500
```